No. 1
DFT (GGA-PBE) results for a relaxed CsReIr3 crystal.

Cell lengths 4.8942, 4.8942, 4.8942 Å; angles 90.00, 90.00, 90.00 degrees
Last column: nearest neighbours and their distance in Å.
Sites, in units of the cell vectors:
Ir 0.0000 0.5000 0.0000  2 Re 2.45
Ir 0.5000 0.0000 0.0000  2 Re 2.45
Ir 0.0000 0.0000 0.5000  2 Re 2.45
Cs 0.5000 0.5000 0.5000  12 Ir 3.46
Re 0.0000 0.0000 0.0000  6 Ir 2.45

Output
Space group = No. 221
Relative energy among the computed polymorphs = 0.000 eV/atom
ΔE_f = 1426 meV/atom

No. 2
DFT (GGA-PBE) results for a relaxed CsReIr2 crystal.

Cell lengths 4.7392, 4.7392, 4.7392 Å; angles 60.00, 60.00, 60.00 degrees
Last column: nearest neighbours and their distance in Å.
Sites, in units of the cell vectors:
Ir 0.7500 0.7500 0.7500  4 Cs 2.90, 4 Re 2.90
Ir 0.2500 0.2500 0.2500  4 Re 2.90, 4 Cs 2.90
Cs 0.0000 0.0000 0.0000  8 Ir 2.90
Re 0.5000 0.5000 0.5000  8 Ir 2.90

Output
Space group = No. 225
ΔE_f = 1908 meV/atom

No. 3
DFT (GGA-PBE) results for a relaxed Cs3ReIr crystal.

Cell lengths 5.9657, 5.9657, 5.9657 Å; angles 90.00, 90.00, 90.00 degrees
Last column: nearest neighbours and their distance in Å.
Sites, in units of the cell vectors:
Ir 0.5000 0.5000 0.5000  12 Cs 4.22
Cs 0.0000 0.5000 0.0000  2 Re 2.98
Cs 0.5000 0.0000 0.0000  2 Re 2.98
Cs 0.0000 0.0000 0.5000  2 Re 2.98
Re 0.0000 0.0000 0.0000  6 Cs 2.98

Output
Space group = No. 221
ΔE_f = 2158 meV/atom

No. 4
DFT (GGA-PBE) results for a relaxed CsReIrRh2 crystal.

Cell lengths 4.8302, 5.0003, 4.8302 Å; angles 90.00, 90.00, 90.00 degrees
Last column: nearest neighbours and their distance in Å.
Sites, in units of the cell vectors:
Rh 0.0000 0.0000 0.5000  2 Cs 2.42
Rh 0.5000 0.0000 0.0000  2 Cs 2.42
Cs 0.0000 0.0000 0.0000  4 Rh 2.42, 2 Ir 2.50
Ir 0.0000 0.5000 0.0000  2 Cs 2.50
Re 0.5000 0.5000 0.5000  4 Ir 3.42, 8 Rh 3.48

Output
Space group = No. 123
ΔE_f = 3106 meV/atom

Number 1: DFT total energy -32.76 eV per cell. Number 2: DFT total energy -23.39 eV per cell. Number 3: DFT total energy -13.08 eV per cell. Number 4: DFT total energy -21.34 eV per cell.